Record 1
Density functional theory data (GGA-PBE) for a geometry-optimized Ti3Al structure.

Cell lengths 6.452, 6.452, 6.452 Å; angles 90.00, 90.00, 90.00 degrees
Space group Fm-3m (No. 225)
Inequivalent atoms, fractional coordinates:
Ti: 0.000 0.000 0.000 [4 per cell]
Ti: 0.250 0.250 0.250 [8 per cell]
Al: 0.000 0.000 0.500 [4 per cell]

Output
- density of states at the Fermi level (states/eV/f.u.) = 6.186
- calculated volume (Å³/f.u.) = 67.15
- energy of formation from the pure elements (eV/atom) = -0.157
- E (eV/cell) = -112.23

=====

Record 2
Density functional theory data (GGA-PBE) for a geometry-optimized ErBeSiIr structure.

Cell lengths 3.977, 4.017, 8.655 Å; angles 90.00, 90.00, 90.00 degrees
Space group Imm2 (No. 44)
Inequivalent atoms, fractional coordinates:
Er: 0.000 0.000 0.000 [2 per cell]
Be: 0.000 0.500 0.239 [2 per cell]
Si: 0.000 0.000 0.348 [2 per cell]
Ir: 0.000 0.000 0.617 [2 per cell]

Output
- density of states at the Fermi level (states/eV/f.u.) = 2.435
- calculated volume (Å³/f.u.) = 69.13
- E (eV/cell) = -48.19